Sm5Pa3H12 | the Alexandria database | PBE-GGA | relaxed; DOS at the Fermi energy = 0.8484 states/eV/atom; energy = -4.94 eV per atom; crystal system = cubic; space-group type = No. 230
1.0
11.3919 0.0000 0.0000
-3.7973 10.7404 0.0000
-3.7973 -5.3702 9.3015
H Sm Pa
48 20 12
direct
0.5793 0.3464 0.9220 H
0.4207 0.7671 0.8427 H
0.0793 0.4220 0.8464 H
0.0780 0.1536 0.4207 H
0.0756 0.9220 0.3427 H
0.8427 0.5756 0.9220 H
0.9244 0.8464 0.7671 H
0.3464 0.7671 0.4244 H
0.1536 0.0756 0.7329 H
0.4220 0.3427 0.5756 H
0.9207 0.5780 0.1536 H
0.9207 0.3427 0.2671 H
0.1536 0.0780 0.9207 H
0.5756 0.8427 0.4220 H
0.0793 0.6573 0.7329 H
0.4244 0.2671 0.3464 H
0.6573 0.5780 0.9244 H
0.5793 0.2329 0.1573 H
0.4207 0.6536 0.0780 H
0.6573 0.0793 0.2329 H
0.5780 0.9207 0.6536 H
0.6536 0.4207 0.5780 H
0.3464 0.5793 0.4220 H
0.7329 0.1573 0.0793 H
0.2329 0.6536 0.0756 H
0.2671 0.4244 0.8464 H
0.0780 0.9244 0.1573 H
0.8427 0.2671 0.4207 H
0.1573 0.4244 0.0780 H
0.9220 0.8464 0.5793 H
0.9220 0.0756 0.8427 H
0.7671 0.4207 0.3427 H
0.2671 0.8427 0.9207 H
0.4244 0.1573 0.5780 H
0.0756 0.1536 0.2329 H
0.3427 0.9207 0.7671 H
0.3427 0.4220 0.0756 H
0.9244 0.0780 0.6573 H
0.7671 0.3464 0.9244 H
0.8464 0.9244 0.2671 H
0.5756 0.7329 0.6536 H
0.8464 0.9220 0.0793 H
0.7329 0.5756 0.1536 H
0.1573 0.7329 0.5793 H
0.4220 0.0793 0.3464 H
0.5780 0.6573 0.4244 H
0.2329 0.5793 0.6573 H
0.6536 0.2329 0.5756 H
0.1250 0.3750 0.2500 Sm
0.3750 0.1250 0.7500 Sm
0.6250 0.8750 0.2500 Sm
0.1250 0.7500 0.3750 Sm
0.5000 0.0000 0.5000 Sm
0.2500 0.8750 0.1250 Sm
0.8750 0.6250 0.7500 Sm
0.7500 0.6250 0.3750 Sm
0.0000 0.0000 0.5000 Sm
0.0000 0.5000 0.0000 Sm
0.5000 0.5000 0.5000 Sm
0.7500 0.1250 0.8750 Sm
0.2500 0.3750 0.6250 Sm
0.5000 0.5000 0.0000 Sm
0.6250 0.7500 0.8750 Sm
0.3750 0.2500 0.1250 Sm
0.0000 0.5000 0.5000 Sm
0.8750 0.2500 0.6250 Sm
0.0000 0.0000 0.0000 Sm
0.5000 0.0000 0.0000 Sm
0.2500 0.1250 0.3750 Pa
0.1250 0.8750 0.7500 Pa
0.3750 0.7500 0.6250 Pa
0.6250 0.3750 0.7500 Pa
0.2500 0.6250 0.8750 Pa
0.8750 0.1250 0.2500 Pa
0.7500 0.8750 0.6250 Pa
0.3750 0.6250 0.2500 Pa
0.6250 0.2500 0.3750 Pa
0.1250 0.2500 0.8750 Pa
0.7500 0.3750 0.1250 Pa
0.8750 0.7500 0.1250 Pa